Record 1
A geometry-optimized Rb2BeBiTe structure. Source: Alexandria, functional PBE.

abc: 7.1085 7.1085 4.2381
angles: 90.00 90.00 90.00
Sites, in units of the cell vectors:
Rb 0.0000 0.5000 0.0000
Rb 0.5000 0.0000 0.0000
Be 0.0000 0.0000 0.0000
Bi 0.5000 0.5000 0.5000
Te 0.0000 0.0000 0.5000

Energy ... -2.42 eV per atom
Raw formation energy ... 0.56 eV per formula unit
SG ... P4/mmm
DOS at the Fermi energy ... 0.55 states/eV/atom
Total moment ... 0.0 μB per formula unit

=====

Record 2
A geometry-optimized NdEr3Os structure. Source: Alexandria, functional PBE.

abc: 5.4024 5.4024 5.4024
angles: 90.00 90.00 90.00
Sites, in units of the cell vectors:
Nd 0.0000 0.0000 0.0000
Er 0.0000 0.5000 0.5000
Er 0.5000 0.0000 0.5000
Er 0.5000 0.5000 0.0000
Os 0.5000 0.5000 0.5000

Energy ... -5.97 eV per atom
SG ... Pm-3m
Energy relative to the lowest polymorph listed for this composition ... 0.40 eV/f.u.
Energy of formation ... -0.03 eV per atom
DOS at the Fermi energy ... 1.49 states/eV/atom
Total moment ... 0.0 μB per formula unit

=====

Record 3
A geometry-optimized Ti3In2Hg structure. Source: Alexandria, functional PBE.

abc: 3.5697 3.5697 9.0170
angles: 90.00 90.00 90.00
Sites, in units of the cell vectors:
Ti 0.0000 0.0000 0.0000
Ti 0.0000 0.0000 0.3345
Ti 0.0000 0.0000 0.6655
In 0.5000 0.5000 0.1675
In 0.5000 0.5000 0.8325
Hg 0.5000 0.5000 0.5000

Energy ... -4.93 eV per atom
SG ... P4/mmm
Energy relative to the lowest polymorph listed for this composition ... 0.00 eV/f.u.
Energy of formation ... -0.02 eV per atom
DOS at the Fermi energy ... 0.78 states/eV/atom
Total moment ... 0.0 μB per formula unit

=====

Record 4
A geometry-optimized PuMnAlRe structure. Source: Alexandria, functional PBE.

abc: 4.5051 4.5051 4.5051
angles: 60.00 60.00 60.00
Sites, in units of the cell vectors:
Pu 0.0000 0.0000 0.0000
Mn 0.7500 0.7500 0.7500
Al 0.5000 0.5000 0.5000
Re 0.2500 0.2500 0.2500

Energy ... -9.95 eV per atom
SG ... F-43m
Energy of formation ... -0.03 eV per atom
DOS at the Fermi energy ... 1.45 states/eV/atom
Total moment ... 2.0 μB per formula unit

=====

Record 5
A geometry-optimized Cd3As2I structure. Source: Alexandria, functional PBE.

abc: 7.8729 7.8729 7.6430
angles: 99.26 99.26 119.37
Sites, in units of the cell vectors:
Cd 0.0878 0.9122 0.5000
Cd 0.1523 0.7012 0.9901
Cd 0.3011 0.5216 0.4525
Cd 0.5216 0.3011 0.9525
Cd 0.7012 0.1523 0.4901
Cd 0.9122 0.0878 0.0000
As 0.1503 0.9925 0.8606
As 0.3292 0.8352 0.3520
As 0.8352 0.3292 0.8520
As 0.9925 0.1503 0.3606
I 0.4970 0.6645 0.8645
I 0.6645 0.4970 0.3645

Energy ... -2.40 eV per atom
Raw formation energy ... -0.78 eV per formula unit
SG ... Cc
DOS at the Fermi energy ... 0.60 states/eV/atom
Total moment ... 0.0 μB per formula unit

=====

Record 6
A geometry-optimized Ho3Zn9Ge2 structure. Source: Alexandria, functional PBE.

abc: 8.0809 8.0809 8.0809
angles: 149.26 106.04 82.19
Sites, in units of the cell vectors:
Ho 0.0000 0.0000 0.0000
Ho 0.3080 0.3080 0.0000
Ho 0.6920 0.6920 0.0000
Zn 0.0322 0.6590 0.3732
Zn 0.1255 0.8544 0.2712
Zn 0.2858 0.6590 0.6268
Zn 0.4168 0.1456 0.2712
Zn 0.5000 0.0000 0.5000
Zn 0.5832 0.8544 0.7288
Zn 0.7142 0.3410 0.3732
Zn 0.8745 0.1456 0.7288
Zn 0.9678 0.3410 0.6268
Ge 0.2976 0.5000 0.7976
Ge 0.7024 0.5000 0.2024

Energy ... -2.80 eV per atom
SG ... Immm
Energy of formation ... -0.34 eV per atom
DOS at the Fermi energy ... 0.38 states/eV/atom
Total moment ... 0.0 μB per formula unit